Here is crystalline BeSiAs at its relaxed geometry from Alexandria. Energies are from PBE.

Magnetic moment ... 0.0 μB/cell
Relative energy among the computed polymorphs ... 1.66 eV per formula unit
E_form (uncorrected) ... 0.498 eV/atom

Unit cell a=2.7851 b=2.7851 c=7.0378 alpha=90.00 beta=90.00 gamma=120.00
With the nearest neighbours (Å) after each atom.
Space group P3m1 (No. 156)
Inequivalent atoms, fractional coordinates:
Be: 0.0000 0.0000 0.0000  3 As 2.47, 3 Si 2.47
Si: 0.6667 0.3333 0.2663  3 Be 2.47
As: 0.3333 0.6667 0.7343  3 Be 2.47